VASP calculation (PBE with a Hubbard U) on a relaxed Li7Co5O12 crystal.

- Distance to the lowest polymorph of the same formula: 42 meV/atom
- Magnetic moment: 3.8 μB per formula unit
- Total energy: -5.518 eV per atom
- D(E_F): 2.6 states/eV/f.u.

Cell: 7.525 7.525 9.986 Å, 108.02 108.02 21.97°
Element x y z (fractional)
1 Li 0.000 0.000 0.000
2 Li 0.164 0.164 0.245
3 Li 0.166 0.166 0.747
4 Li 0.498 0.498 0.760
5 Li 0.502 0.502 0.240
6 Li 0.834 0.834 0.253
7 Li 0.836 0.836 0.755
8 Co 0.000 0.000 0.500
9 Co 0.333 0.333 0.499
10 Co 0.336 0.336 0.999
11 Co 0.664 0.664 0.001
12 Co 0.667 0.667 0.501
13 O 0.088 0.088 0.393
14 O 0.095 0.095 0.889
15 O 0.245 0.245 0.104
16 O 0.245 0.245 0.608
17 O 0.408 0.408 0.882
18 O 0.417 0.417 0.385
19 O 0.583 0.583 0.615
20 O 0.592 0.592 0.118
21 O 0.755 0.755 0.392
22 O 0.755 0.755 0.896
23 O 0.905 0.905 0.111
24 O 0.912 0.912 0.607